TlCoO3 (PBE+U, relaxed); uncorrected energy = -24.52 eV/cell
1.0
-3.179 -0.154 -2.026
1.457 -2.795 -2.073
-1.416 -2.529 2.415
Co O Tl
1 3 1
Cartesian
-1.569 -2.739 -0.842
-0.861 -1.475 -2.050
-2.298 -1.342 0.194
0.020 -2.662 0.171
0.000 0.000 0.000